## SbTeI2Br (meta-GGA SCAN)

Data for a crystal of SbTeI2Br relaxed with PBEsol.

a b c (Å): 5.6710 5.6710 5.5514
angles (deg): 90.00 90.00 90.00
Space group P4/mmm (No. 123)
Symmetry-distinct sites (fractional):
Sb 0.0000 0.0000 0.0000 [1 per cell]
Te 0.5000 0.5000 0.0000 [1 per cell]
I 0.0000 0.5000 0.5000 [2 per cell]
Br 0.5000 0.5000 0.5000 [1 per cell]

Properties
The calculation puts the mass density at 5.4 Mg/m³. The formation energy (no corrections) is 0.809 eV per atom.

## SbTe2IBr (meta-GGA SCAN)

Data for a crystal of SbTe2IBr relaxed with PBEsol.

a b c (Å): 5.5240 5.5240 5.6283
angles (deg): 90.00 90.00 90.00
Space group P4/mmm (No. 123)
Symmetry-distinct sites (fractional):
Sb 0.0000 0.0000 0.0000 [1 per cell]
Te 0.0000 0.5000 0.5000 [2 per cell]
I 0.5000 0.5000 0.0000 [1 per cell]
Br 0.0000 0.0000 0.5000 [1 per cell]

Properties
The calculation puts the mass density at 5.6 Mg/m³. The formation energy (no corrections) is 0.904 eV per atom.

## SbTeI2Br (meta-GGA SCAN)

Data for a crystal of SbTeI2Br relaxed with PBEsol.

a b c (Å): 5.7974 5.7974 5.9149
angles (deg): 90.00 90.00 90.00
Space group P4/mmm (No. 123)
Symmetry-distinct sites (fractional):
Sb 0.0000 0.0000 0.0000 [1 per cell]
Te 0.0000 0.0000 0.5000 [1 per cell]
I 0.0000 0.5000 0.5000 [2 per cell]
Br 0.5000 0.5000 0.0000 [1 per cell]

Properties
The calculation puts the mass density at 4.9 Mg/m³. The formation energy (no corrections) is 0.366 eV per atom.

## SbWI2Br (meta-GGA SCAN)

Data for a crystal of SbWI2Br relaxed with PBEsol.

a b c (Å): 5.6485 5.6485 5.5280
angles (deg): 90.00 90.00 90.00
Space group P4/mmm (No. 123)
Symmetry-distinct sites (fractional):
Sb 0.0000 0.0000 0.0000 [1 per cell]
W 0.5000 0.5000 0.0000 [1 per cell]
I 0.0000 0.5000 0.5000 [2 per cell]
Br 0.0000 0.0000 0.5000 [1 per cell]

Properties
The calculation puts the mass density at 6.0 Mg/m³. The formation energy (no corrections) is 1.917 eV per atom.

Q: Which formula does entry 4 have?
A: SbWI2Br

Q: Which of these has the lowest mass density?
A: number 3

Q: The highest mass density belongs to which entry?
A: SbWI2Br

Q: The lowest mass density belongs to which entry?
A: number 3